No. 1
The following is a PBE calculation of an optimized crystal structure of PrDy2Ag, from the Alexandria database.

a = 5.518 Å, b = 5.518 Å, c = 3.684 Å
α = 90.00°, β = 90.00°, γ = 90.00°
Space group P4/mmm (No. 123)
Asymmetric unit:
Pr 0.000 0.000 0.000
Dy 0.000 0.500 0.500
Ag 0.500 0.500 0.000

Computed properties:
DOS at the Fermi energy (states/eV/cell): 5.28
Spin magnetization (μB per formula unit): 0.00


No. 2
The following is a PBE calculation of an optimized crystal structure of PrDy6Ag, from the Alexandria database.

a = 9.3709 Å, b = 9.3709 Å, c = 9.7258 Å
α = 90.00°, β = 90.00°, γ = 120.00°
Space group R-3 (No. 148, hexagonal axes)
Asymmetric unit:
Pr 0.0000 0.0000 0.0000
Dy 0.0304 0.2526 0.7054
Ag 0.0000 0.0000 0.5000

Computed properties:
DOS at the Fermi energy (states/eV/cell): 28.95
Spin magnetization (μB per formula unit): 0.00


No. 3
The following is a PBE calculation of an optimized crystal structure of Pr4DyAg5, from the Alexandria database.

a = 3.713 Å, b = 3.713 Å, c = 19.182 Å
α = 90.00°, β = 90.00°, γ = 90.00°
Space group P4/mmm (No. 123)
Asymmetric unit:
Pr 0.000 0.000 0.101
Pr 0.000 0.000 0.305
Dy 0.000 0.000 0.500
Ag 0.500 0.500 0.000
Ag 0.500 0.500 0.203
Ag 0.500 0.500 0.411

Computed properties:
DOS at the Fermi energy (states/eV/cell): 8.04
Spin magnetization (μB per formula unit): 0.00


No. 4
The following is a PBE calculation of an optimized crystal structure of Pr2Dy2Ag, from the Alexandria database.

a = 3.644 Å, b = 3.644 Å, c = 22.952 Å
α = 90.00°, β = 90.00°, γ = 90.00°
Space group I4/mmm (No. 139)
Asymmetric unit:
Pr 0.000 0.000 0.192
Dy 0.000 0.000 0.421
Ag 0.000 0.000 0.000

Computed properties:
DOS at the Fermi energy (states/eV/cell): 13.19
Spin magnetization (μB per formula unit): 0.00


Number 1: energy of formation from the pure elements 28 meV per atom. Number 2: energy of formation from the pure elements 44 meV per atom. Number 3: energy of formation from the pure elements -260 meV per atom. Number 4: energy of formation from the pure elements -102 meV per atom.